Material: LiV2O6
Method: DFT, PBE+U
State: relaxed

Properties
magnetic moment = 0.117 μB per atom
offset from the most stable computed form = 0 meV per atom

```
18
Lattice="5.309 -0.449 -2.064 -3.205 8.346 0.307 -0.537 0.252 8.926" Properties=species:S:1:pos:R:3 pbc="T T T"
Li -1.279 6.419 1.724
Li 2.846 1.731 5.445
V -0.128 3.047 1.515
V -1.393 6.643 5.284
V 1.695 5.103 5.654
V 2.960 1.506 1.884
O 1.639 2.660 1.470
O 2.419 5.760 4.140
O -0.072 5.489 5.698
O -0.853 2.390 3.029
O 3.257 1.570 3.538
O 1.925 3.438 5.704
O -1.690 6.579 3.630
O -0.358 4.712 1.464
O -0.911 2.392 0.178
O -0.912 8.213 5.646
O 2.478 5.757 6.990
O 2.479 -0.064 1.523
```